Entry 1:
InRe2RhC | GGA-PBE | optimized geometry

Unit cell a=5.026 b=5.026 c=3.833 alpha=90.00 beta=90.00 gamma=90.00
Fractional coordinates of all 5 atoms:
1 In 0.000 0.000 0.000
2 Re 0.000 0.500 0.000
3 Re 0.500 0.000 0.000
4 Rh 0.500 0.500 0.500
5 C 0.000 0.000 0.500

**Energy relative to the elements**: 317.1 kJ/mol of atoms
**SG**: P4/mmm
**ρ**: 10.327 g/cm³


Entry 2:
Na2Tl2CdPb2 | GGA-PBE | optimized geometry

Unit cell a=8.262 b=8.262 c=8.122 alpha=111.97 beta=111.97 gamma=23.86
Fractional coordinates of all 7 atoms:
1 Na 0.126 0.126 0.397
2 Na 0.874 0.874 0.603
3 Tl 0.279 0.279 0.841
4 Tl 0.721 0.721 0.159
5 Cd 0.500 0.500 0.000
6 Pb 0.421 0.421 0.284
7 Pb 0.579 0.579 0.716

**Energy relative to the elements**: -5.6 kJ/mol of atoms
**SG**: C2/m
**ρ**: 7.864 g/cm³


Entry 3:
MnTcIr2 | GGA-PBE | optimized geometry

Unit cell a=3.827 b=3.827 c=3.802 alpha=90.00 beta=90.00 gamma=90.00
Fractional coordinates of all 4 atoms:
1 Mn 0.000 0.000 0.000
2 Tc 0.500 0.500 0.000
3 Ir 0.000 0.500 0.500
4 Ir 0.500 0.000 0.500

**Energy relative to the elements**: -16.8 kJ/mol of atoms
**SG**: P4/mmm
**ρ**: 16.031 g/cm³
**Relative energy among the computed polymorphs**: 0.02 eV per formula unit


Entry 4:
Al2BrCl | GGA-PBE | optimized geometry

Unit cell a=4.364 b=4.364 c=6.609 alpha=90.00 beta=90.00 gamma=90.00
Fractional coordinates of all 4 atoms:
1 Al 0.000 0.000 0.000
2 Al 0.500 0.500 0.472
3 Br 0.500 0.500 0.065
4 Cl 0.000 0.000 0.381

**SG**: P4mm
**ρ**: 2.234 g/cm³
**Relative energy among the computed polymorphs**: 1.67 eV per formula unit
**Formation energy without anion corrections**: -5.15 kcal/mol of atoms


Entry 5:
BaGa12Rh6 | GGA-PBE | optimized geometry

Unit cell a=7.249 b=7.249 c=7.249 alpha=104.93 beta=104.93 gamma=104.93
Fractional coordinates of all 19 atoms:
1 Ba 0.000 0.000 0.000
2 Ga 0.117 0.500 0.883
3 Ga 0.117 0.883 0.500
4 Ga 0.132 0.415 0.415
5 Ga 0.415 0.132 0.415
6 Ga 0.415 0.415 0.132
7 Ga 0.500 0.117 0.883
8 Ga 0.500 0.883 0.117
9 Ga 0.585 0.585 0.868
10 Ga 0.585 0.868 0.585
11 Ga 0.868 0.585 0.585
12 Ga 0.883 0.117 0.500
13 Ga 0.883 0.500 0.117
14 Rh 0.272 0.272 0.686
15 Rh 0.272 0.686 0.272
16 Rh 0.314 0.728 0.728
17 Rh 0.686 0.272 0.272
18 Rh 0.728 0.314 0.728
19 Rh 0.728 0.728 0.314

**Energy relative to the elements**: -55.5 kJ/mol of atoms
**SG**: R-3m
**ρ**: 7.924 g/cm³


Entry 6:
Zr2InSbAu | GGA-PBE | optimized geometry

Unit cell a=5.291 b=5.291 c=4.980 alpha=90.00 beta=90.00 gamma=90.00
Fractional coordinates of all 5 atoms:
1 Zr 0.000 0.500 0.000
2 Zr 0.500 0.000 0.000
3 In 0.000 0.000 0.500
4 Sb 0.500 0.500 0.500
5 Au 0.000 0.000 0.000

**SG**: P4/mmm
**ρ**: 7.338 g/cm³
**Formation energy without anion corrections**: 7.90 kcal/mol of atoms